Entry 1:
4
Lattice="4.175 0.000 0.000 0.000 4.175 0.000 0.000 0.000 5.884" Properties=species:S:1:pos:R:3 comment="La2SeCl SCAN PBEsol geometry" formation_energy_uncorrected_ev_per_atom=-1.96 polymorph_energy_ev_per_fu=0.07 crystal_system=tetragonal pbc="T T T"
La 0.000 0.000 5.148
La 2.088 2.088 2.207
Se 0.000 0.000 2.206
Cl 2.088 2.088 5.149


Entry 2:
5
Lattice="3.954 0.000 0.000 0.000 3.954 0.000 0.000 0.000 5.573" Properties=species:S:1:pos:R:3 comment="ZrZnPO2 SCAN PBEsol geometry" formation_energy_uncorrected_ev_per_atom=-1.39 polymorph_energy_ev_per_fu=0.00 crystal_system=tetragonal pbc="T T T"
P 0.000 0.000 2.786
Zn 1.977 1.977 2.786
O 0.000 1.977 0.000
O 1.977 0.000 0.000
Zr 0.000 0.000 0.000


Entry 3:
16
Lattice="-2.889 4.838 -1.060 -4.690 -3.111 -1.417 2.267 -0.573 5.638" Properties=species:S:1:pos:R:3 comment="Li3Cu4SbO8 SCAN PBEsol geometry" formation_energy_uncorrected_ev_per_atom=-1.36 crystal_system=monoclinic pbc="T T T"
Li -1.211 -1.842 2.110
Li 1.134 -0.287 2.819
Li -1.444 2.419 -0.530
Cu 0.000 0.000 0.000
Cu -0.311 2.133 2.289
Cu -2.656 0.577 1.580
Cu -3.789 0.864 -1.239
Sb -2.345 -1.555 -0.709
O -3.064 -1.327 1.169
O -5.648 1.327 -1.599
O -3.480 2.765 -0.944
O -2.248 2.482 1.992
O -0.726 0.289 1.769
O 0.336 -0.173 4.759
O -1.832 -1.611 4.104
O -4.585 0.866 1.391


Entry 4:
5
Lattice="-3.427 1.558 0.856 -1.765 -2.771 -2.028 -0.212 -2.274 3.292" Properties=species:S:1:pos:R:3 comment="TcWNO2 SCAN PBEsol geometry" formation_energy_uncorrected_ev_per_atom=-0.50 crystal_system=tetragonal pbc="T T T"
O -0.883 -1.385 -1.014
O -1.714 0.779 0.428
Tc -2.702 -1.744 1.060
W 0.000 0.000 0.000
N -0.106 -1.137 1.646


Entry 5:
5
Lattice="4.193 0.000 0.000 0.000 4.596 0.000 0.000 0.000 4.596" Properties=species:S:1:pos:R:3 comment="LiRe2SnAs SCAN PBEsol geometry" e_tot_ev_per_cell=-196.057 crystal_system=tetragonal pbc="T T T"
Re 0.000 0.000 2.298
Re 0.000 2.298 0.000
As 0.000 0.000 0.000
Sn 2.097 2.298 2.298
Li 2.097 0.000 0.000


Entry 6:
4
Lattice="3.790 0.000 0.000 0.000 5.700 -0.342 -1.895 -2.683 6.050" Properties=species:S:1:pos:R:3 comment="Sr2MgAg SCAN PBEsol geometry" e_tot_ev_per_cell=-81.377 crystal_system=monoclinic pbc="T T T"
Sr 0.000 -0.020 0.133
Sr 0.000 2.957 2.301
Mg 1.895 0.146 3.543
Ag 0.000 0.100 5.609


Entry 7:
4
Lattice="4.474 0.000 0.000 2.237 3.875 0.000 2.237 1.292 3.653" Properties=species:S:1:pos:R:3 comment="InReSi2 SCAN PBEsol geometry" formation_energy_uncorrected_ev_per_atom=0.90 crystal_system=cubic pbc="T T T"
In 4.474 2.583 1.827
Re 2.237 1.292 0.913
Si 0.000 0.000 0.000
Si 6.711 3.875 2.740


Entry 8:
5
Lattice="-1.891 5.324 1.144 0.298 -1.108 5.649 5.437 1.912 0.088" Properties=species:S:1:pos:R:3 comment="Pb3IBr SCAN PBEsol geometry" formation_energy_uncorrected_ev_per_atom=0.43 crystal_system=cubic pbc="T T T"
Pb 0.149 -0.554 2.824
Pb 2.719 0.956 0.044
Pb -0.946 2.662 0.572
I 1.922 3.064 3.440
Br 0.000 0.000 0.000


Entry 9:
3
Lattice="4.552 0.000 0.000 2.276 3.942 0.000 2.276 1.314 3.716" Properties=species:S:1:pos:R:3 comment="KZrRh SCAN PBEsol geometry" e_tot_ev_per_cell=-70.435 crystal_system=cubic pbc="T T T"
K 0.000 0.000 0.000
Rh 4.552 2.628 1.858
Zr 2.276 1.314 0.929


Entry 10:
4
Lattice="-1.935 -1.827 -0.582 2.218 -1.226 -3.527 3.531 -2.870 3.219" Properties=species:S:1:pos:R:3 comment="Mg2CuW SCAN PBEsol geometry" polymorph_energy_ev_per_fu=0.00 crystal_system=monoclinic pbc="T T T"
Cu 3.293 -3.052 0.458
Mg 3.344 -2.993 3.144
Mg 0.542 -2.776 -1.368
W 0.964 -2.321 1.413


Entry 11:
4
Lattice="-2.203 -1.931 -1.225 3.062 -2.702 -1.248 -0.432 -3.053 5.551" Properties=species:S:1:pos:R:3 comment="Zr2HgPb SCAN PBEsol geometry" polymorph_energy_ev_per_fu=0.07 crystal_system=monoclinic pbc="T T T"
Pb 0.214 -3.843 1.539
Hg 0.429 -2.316 -1.236
Zr -0.327 -2.314 4.207
Zr -2.307 -2.670 0.119


Entry 12:
4
Lattice="-0.403 2.049 -2.280 -0.436 -0.980 -2.900 -8.285 0.184 -0.465" Properties=species:S:1:pos:R:3 comment="Tc2SbBr SCAN PBEsol geometry" formation_energy_uncorrected_ev_per_atom=0.60 polymorph_energy_ev_per_fu=1.74 crystal_system=trigonal pbc="T T T"
Sb 0.000 0.000 0.000
Tc -2.284 0.313 -1.411
Tc -6.840 0.940 -4.234
Br -4.562 0.627 -2.823


Entry 13:
4
Lattice="3.283 0.000 0.000 0.000 3.283 0.000 0.000 0.000 6.364" Properties=species:S:1:pos:R:3 comment="MnNiCl2 SCAN PBEsol geometry" formation_energy_uncorrected_ev_per_atom=-0.54 polymorph_energy_ev_per_fu=0.00 crystal_system=tetragonal pbc="T T T"
Ni 1.641 1.641 4.453
Mn 0.000 0.000 3.457
Cl 0.000 0.000 5.764
Cl 1.641 1.641 2.235


Entry 14:
4
Lattice="-1.868 -0.270 -2.985 -1.503 -4.113 1.313 -3.346 2.479 3.959" Properties=species:S:1:pos:R:3 comment="Y2CuBr SCAN PBEsol geometry" formation_energy_uncorrected_ev_per_atom=-0.56 polymorph_energy_ev_per_fu=0.83 crystal_system=monoclinic pbc="T T T"
Br -2.039 -2.615 -0.577
Cu -3.140 0.458 -0.166
Y -5.319 1.648 1.090
Y -3.119 -1.378 2.076


Entry 15:
5
Lattice="-1.819 2.870 -2.073 -3.522 -1.233 1.383 0.382 2.655 3.339" Properties=species:S:1:pos:R:3 comment="ZrScNO2 SCAN PBEsol geometry" formation_energy_uncorrected_ev_per_atom=-2.19 crystal_system=tetragonal pbc="T T T"
Sc -2.479 2.146 1.325
O -1.761 -0.616 0.692
O -0.909 1.435 -1.036
Zr 0.000 0.000 0.000
N 0.191 1.327 1.670


Entry 16:
5
Lattice="4.597 0.000 0.000 0.000 4.597 0.000 0.000 0.000 4.597" Properties=species:S:1:pos:R:3 comment="SiMo3Rh SCAN PBEsol geometry" formation_energy_uncorrected_ev_per_atom=1.83 polymorph_energy_ev_per_fu=3.38 crystal_system=cubic pbc="T T T"
Mo 0.000 2.299 0.000
Mo 0.000 0.000 2.299
Mo 2.299 0.000 0.000
Rh 0.000 0.000 0.000
Si 2.299 2.299 2.299


Entry 17:
10
Lattice="4.222 0.000 0.000 0.000 4.222 0.000 0.000 0.000 10.119" Properties=species:S:1:pos:R:3 comment="ThGe2Ir2 SCAN PBEsol geometry" e_tot_ev_per_cell=-562.388 crystal_system=tetragonal pbc="T T T"
Th 0.000 2.111 2.549
Th 2.111 0.000 7.570
Ge 0.000 0.000 5.060
Ge 2.111 2.111 5.060
Ge 0.000 2.111 8.777
Ge 2.111 0.000 1.342
Ir 0.000 0.000 0.000
Ir 2.111 2.111 0.000
Ir 0.000 2.111 6.362
Ir 2.111 0.000 3.758


Entry 18:
28
Lattice="5.756 0.000 0.000 -2.878 5.169 -0.029 0.000 -0.237 9.501" Properties=species:S:1:pos:R:3 comment="Li4Cr3Cu3Sb2O16 SCAN PBEsol geometry" formation_energy_uncorrected_ev_per_atom=-1.79 crystal_system=monoclinic pbc="T T T"
Li 0.000 3.249 8.566
Li 0.000 -0.133 9.450
Li 2.878 5.039 4.587
Li 2.878 1.474 3.766
Cr 0.000 1.747 2.111
Cr 4.268 0.727 6.793
Cr 1.489 0.727 6.793
Cu 1.418 4.233 1.977
Cu -1.418 4.233 1.977
Cu 2.878 3.258 6.771
Sb 0.000 3.317 4.648
Sb 2.878 1.595 9.406
O 1.471 4.205 5.660
O 0.000 4.790 3.261
O 0.000 3.243 1.063
O 0.000 0.065 2.786
O 0.000 0.001 7.623
O -1.471 4.205 5.660
O 1.262 2.408 3.339
O -1.262 2.408 3.339
O 2.878 3.583 0.798
O 0.000 1.549 5.714
O 4.184 2.261 7.938
O 1.572 2.261 7.938
O 2.878 1.382 5.743
O 4.341 0.985 0.890
O 2.878 0.020 7.990
O 1.415 0.985 0.890


Entry 19:
4
Lattice="4.588 0.000 0.000 0.000 5.670 0.000 -2.294 -2.835 6.557" Properties=species:S:1:pos:R:3 comment="Ba2SrSb SCAN PBEsol geometry" formation_energy_uncorrected_ev_per_atom=-0.53 crystal_system=orthorhombic pbc="T T T"
Ba 2.294 2.835 3.945
Ba 0.000 0.000 2.612
Sb 2.294 0.000 0.000
Sr 0.000 2.835 0.000


Entry 20:
4
Lattice="-0.249 0.827 -4.521 -0.425 -3.499 -2.960 -3.966 -0.648 -2.243" Properties=species:S:1:pos:R:3 comment="ZrTlRu2 SCAN PBEsol geometry" e_tot_ev_per_cell=-171.706 crystal_system=cubic pbc="T T T"
Ru 0.000 0.000 0.000
Ru -1.160 -0.830 -2.431
Tl -2.320 -1.660 -4.862
Zr -3.480 -2.490 -7.293